No. 1
Crystalline GdAl3 at its relaxed geometry, computed with PBEsol.

Results
* formation enthalpy at 0 K: -0.449 eV/atom
* final energy: -7.129 eV/atom
* mass density: 5.1 g cm⁻³

a b c (Å): 6.2221 6.2221 4.6094
angles (deg): 90.00 90.00 120.00
Closest atoms and distances in Å follow each position.
Space group P6_3/mmc (No. 194)
Unique sites:
Gd 0.3333 0.6667 0.2500 (multiplicity 2)  12 Al 3.05-3.12
Al 0.1482 0.2964 0.7500 (multiplicity 6)  6 Al 2.77-2.80, 2 Gd 3.05

No. 2
Crystalline MgMnIn2 at its relaxed geometry, computed with PBEsol.

Results
* formation enthalpy at 0 K: 0.171 eV/atom
* final energy: -4.190 eV/atom
* mass density: 6.3 g cm⁻³

a b c (Å): 3.1826 3.1826 27.6560
angles (deg): 90.00 90.00 120.00
Closest atoms and distances in Å follow each position.
Space group R-3m (No. 166, hexagonal axes)
Unique sites:
Mg 0.0000 0.0000 0.0000 (multiplicity 3)  6 In 3.08, 6 Mg 3.18
Mn 0.0000 0.0000 0.5000 (multiplicity 3)  6 In 2.82
In 0.0000 0.0000 0.2442 (multiplicity 6)  3 Mn 2.82, 3 Mg 3.08

No. 3
Crystalline Al2HI at its relaxed geometry, computed with PBEsol.

Results
* final energy: -2.926 eV/atom
* mass density: 3.6 g cm⁻³

a b c (Å): 5.3467 5.3467 11.8875
angles (deg): 90.00 90.00 90.00
Closest atoms and distances in Å follow each position.
Space group I-42d (No. 122)
Unique sites:
Al 0.0507 0.2500 0.1250 (multiplicity 8)  2 H 2.02
H 0.0000 0.0000 0.0000 (multiplicity 4)  4 Al 2.02
I 0.0000 0.0000 0.5000 (multiplicity 4)  4 Al 3.12

No. 4
Crystalline CoRu2Cl at its relaxed geometry, computed with PBEsol.

Results
* final energy: -6.728 eV/atom
* mass density: 9.8 g cm⁻³
* ΔE to the lowest computed polymorph: 0.442 eV/atom

a b c (Å): 6.0298 6.0470 2.7677
angles (deg): 90.00 90.00 90.00
Closest atoms and distances in Å follow each position.
Space group Cmmm (No. 65)
Unique sites:
Co 0.0000 0.0000 0.0000 (multiplicity 2)  8 Ru 2.54, 2 Co 2.77
Ru 0.2500 0.2500 0.5000 (multiplicity 4)  4 Cl 2.54, 4 Co 2.54, 2 Ru 2.77
Cl 0.0000 0.5000 0.0000 (multiplicity 2)  8 Ru 2.54, 2 Cl 2.77

No. 5
Crystalline Li3PC at its relaxed geometry, computed with PBEsol.

Results
* formation enthalpy at 0 K: 0.554 eV/atom
* final energy: -3.713 eV/atom
* mass density: 1.7 g cm⁻³

a b c (Å): 3.9494 3.9494 3.9494
angles (deg): 90.00 90.00 90.00
Closest atoms and distances in Å follow each position.
Space group Pm-3m (No. 221)
Unique sites:
Li 0.0000 0.0000 0.5000 (multiplicity 3)  2 C 1.97
P 0.5000 0.5000 0.5000 (multiplicity 1)  12 Li 2.79
C 0.0000 0.0000 0.0000 (multiplicity 1)  6 Li 1.97

No. 6
Crystalline GeIr at its relaxed geometry, computed with PBEsol.

Results
* formation enthalpy at 0 K: -0.335 eV/atom
* final energy: -7.716 eV/atom
* mass density: 14.2 g cm⁻³

a b c (Å): 5.5489 3.5724 6.2335
angles (deg): 90.00 90.00 90.00
Closest atoms and distances in Å follow each position.
Space group Pnma (No. 62)
Unique sites:
Ge 0.1907 0.2500 0.0792 (multiplicity 4)  6 Ir 2.48-2.58
Ir 0.0048 0.2500 0.7058 (multiplicity 4)  6 Ge 2.48-2.58

No. 7
Crystalline Al2InAs2 at its relaxed geometry, computed with PBEsol.

Results
* formation enthalpy at 0 K: -0.002 eV/atom
* final energy: -4.278 eV/atom
* mass density: 5.0 g cm⁻³

a b c (Å): 4.7481 4.7481 9.4743
angles (deg): 90.00 90.00 90.00
Closest atoms and distances in Å follow each position.
Space group I4/mmm (No. 139)
Unique sites:
Al 0.0000 0.0000 0.1373 (multiplicity 4)  1 Al 2.60, 4 As 2.60
In 0.0000 0.0000 0.5000 (multiplicity 2)  8 As 3.35, 10 Al 3.44-3.60
As 0.0000 0.5000 0.2500 (multiplicity 4)  4 Al 2.60

No. 8
Crystalline BeReAu2 at its relaxed geometry, computed with PBEsol.

Results
* formation enthalpy at 0 K: 0.514 eV/atom
* final energy: -5.781 eV/atom
* mass density: 16.5 g cm⁻³

a b c (Å): 2.7520 4.6036 4.6808
angles (deg): 90.00 90.00 90.00
Closest atoms and distances in Å follow each position.
Space group Pmmm (No. 47)
Unique sites:
Be 0.0000 0.0000 0.0000 (multiplicity 1)  4 Re 2.68, 4 Au 2.71, 2 Be 2.75
Re 0.5000 0.5000 0.0000 (multiplicity 1)  4 Be 2.68, 4 Au 2.71, 2 Re 2.75
Au 0.0000 0.5000 0.5000 (multiplicity 1)  6 Au 2.68-2.75, 4 Re 2.71
Au 0.5000 0.0000 0.5000 (multiplicity 1)  6 Au 2.68-2.75, 4 Be 2.71

No. 9
Crystalline BeRu2Br at its relaxed geometry, computed with PBEsol.

Results
* final energy: -5.885 eV/atom
* mass density: 9.0 g cm⁻³

a b c (Å): 3.0060 4.5558 7.8182
angles (deg): 90.00 90.00 90.00
Closest atoms and distances in Å follow each position.
Space group Immm (No. 71)
Unique sites:
Be 0.0000 0.0000 0.0000 (multiplicity 2)  4 Ru 2.23
Ru 0.0000 0.5000 0.2889 (multiplicity 4)  2 Be 2.23
Br 0.0000 0.0000 0.5000 (multiplicity 2)  8 Ru 2.71-2.81, 4 Be 2.73, 2 Br 3.01

No. 10
Crystalline LaFeCo2 at its relaxed geometry, computed with PBEsol.

Results
* formation enthalpy at 0 K: 0.226 eV/atom
* final energy: -7.220 eV/atom
* mass density: 8.7 g cm⁻³

a b c (Å): 2.9484 2.9609 6.8128
angles (deg): 90.00 90.00 90.00
Closest atoms and distances in Å follow each position.
Space group Pmmm (No. 47)
Unique sites:
La 0.0000 0.0000 0.0000 (multiplicity 1)  4 La 2.95-2.96, 8 Co 3.01
Fe 0.0000 0.0000 0.5000 (multiplicity 1)  8 Co 2.43
Co 0.5000 0.5000 0.3183 (multiplicity 2)  4 Fe 2.43, 1 Co 2.48

No. 11
Crystalline BaSr2BeP at its relaxed geometry, computed with PBEsol.

Results
* formation enthalpy at 0 K: 1.179 eV/atom
* final energy: -1.945 eV/atom
* mass density: 2.6 g cm⁻³

a b c (Å): 6.5478 6.5478 5.3103
angles (deg): 90.00 90.00 90.00
Closest atoms and distances in Å follow each position.
Space group P4/mmm (No. 123)
Unique sites:
Ba 0.0000 0.0000 0.0000 (multiplicity 1)  2 P 2.66
Sr 0.0000 0.5000 0.0000 (multiplicity 2)  2 Ba 3.27
Be 0.5000 0.5000 0.5000 (multiplicity 1)  8 Sr 4.22, 4 P 4.63
P 0.0000 0.0000 0.5000 (multiplicity 1)  2 Ba 2.66

No. 12
Crystalline Mo2PRu at its relaxed geometry, computed with PBEsol.

Results
* formation enthalpy at 0 K: -0.107 eV/atom
* final energy: -9.982 eV/atom
* mass density: 9.9 g cm⁻³

a b c (Å): 3.6299 3.6299 8.2834
angles (deg): 90.00 90.00 90.00
Closest atoms and distances in Å follow each position.
Space group I4/mmm (No. 139)
Unique sites:
Mo 0.0000 0.5000 0.2500 (multiplicity 4)  4 Mo 2.57, 4 Ru 2.75, 4 P 2.75
P 0.0000 0.0000 0.0000 (multiplicity 2)  4 Ru 2.57, 8 Mo 2.75
Ru 0.0000 0.0000 0.5000 (multiplicity 2)  4 P 2.57, 8 Mo 2.75